# 1
Here is a relaxed structure of Hf12Ta5Ge3 from the Alexandria database. Energies are from PBE.

Properties
* total DFT energy (no corrections): -1358.047 eV for the cell shown
* DFT formation energy: 1.14 eV per atom
* spin magnetization: 0.223 μB/atom

Cell: 15.993 15.993 15.993 Å, 90.00 90.00 90.00°
Space group Ia-3d (No. 230)
Asymmetric unit:
Hf  0.011  0.076  0.649 [96 per cell]
Ta  0.000  0.000  0.000 [16 per cell]
Ta  0.000  0.250  0.375 [24 per cell]
Ge  0.000  0.250  0.125 [24 per cell]

=====

# 2
Here is a relaxed structure of HfTaGe from the Alexandria database. Energies are from PBE.

Properties
* total DFT energy (no corrections): -167.214 eV for the cell shown
* DFT formation energy: -0.48 eV per atom
* spin magnetization: 0.000 μB/atom

Cell: 12.455 3.704 7.192 Å, 90.00 90.00 90.00°
Space group Pmma (No. 51)
Asymmetric unit:
Hf  0.050  0.000  0.242 [4 per cell]
Hf  0.250  0.000  0.841 [2 per cell]
Ta  0.110  0.500  0.561 [4 per cell]
Ta  0.250  0.500  0.193 [2 per cell]
Ge  0.097  0.500  0.937 [4 per cell]
Ge  0.250  0.000  0.453 [2 per cell]

=====

# 3
Here is a relaxed structure of HfTaGe from the Alexandria database. Energies are from PBE.

Properties
* total DFT energy (no corrections): -54.441 eV for the cell shown
* DFT formation energy: -0.27 eV per atom
* spin magnetization: 0.000 μB/atom

Cell: 3.480 3.480 9.110 Å, 90.00 90.00 90.00°
Space group I4mm (No. 107)
Asymmetric unit:
Hf  0.000  0.000  0.000 [2 per cell]
Ta  0.000  0.000  0.319 [2 per cell]
Ge  0.000  0.000  0.672 [2 per cell]

=====

# 4
Here is a relaxed structure of HfTaGe2 from the Alexandria database. Energies are from PBE.

Properties
* total DFT energy (no corrections): -96.172 eV for the cell shown
* DFT formation energy: -0.25 eV per atom
* energy above the most stable polymorph in this dataset: 0.014 eV per atom
* spin magnetization: 0.000 μB/atom

Cell: 3.7127 3.7127 19.4013 Å, 90.00 90.00 120.00°
Space group R3m (No. 160, hexagonal axes)
Asymmetric unit:
Hf  0.0000  0.0000  0.0000 [3 per cell]
Ta  0.0000  0.0000  0.1740 [3 per cell]
Ge  0.0000  0.0000  0.4236 [3 per cell]
Ge  0.0000  0.0000  0.5856 [3 per cell]

=====

# 5
Here is a relaxed structure of Hf2Ta3Ge4 from the Alexandria database. Energies are from PBE.

Properties
* total DFT energy (no corrections): -157.569 eV for the cell shown
* DFT formation energy: -0.54 eV per atom
* spin magnetization: 0.000 μB/atom

Cell: 6.995 6.986 6.860 Å, 90.00 110.19 90.00°
Space group P2_1/c (No. 14)
Asymmetric unit:
Hf  0.184  0.168  0.050 [4 per cell]
Ta  0.250  0.674  0.244 [4 per cell]
Ta  0.500  0.000  0.500 [2 per cell]
Ge  0.080  0.533  0.846 [4 per cell]
Ge  0.485  0.134  0.864 [4 per cell]

=====

# 6
Here is a relaxed structure of HfTaGe3 from the Alexandria database. Energies are from PBE.

Properties
* total DFT energy (no corrections): -32.124 eV for the cell shown
* DFT formation energy: 0.71 eV per atom
* energy above the most stable polymorph in this dataset: 0.000 eV per atom
* spin magnetization: 0.000 μB/atom

Cell: 4.914 4.914 4.914 Å, 90.00 90.00 90.00°
Space group Pm-3m (No. 221)
Asymmetric unit:
Hf  0.000  0.000  0.000 [1 per cell]
Ta  0.500  0.500  0.500 [1 per cell]
Ge  0.000  0.500  0.500 [3 per cell]

=====

# 7
Here is a relaxed structure of HfTaGe from the Alexandria database. Energies are from PBE.

Properties
* total DFT energy (no corrections): -26.377 eV for the cell shown
* DFT formation energy: 0.02 eV per atom
* spin magnetization: 0.000 μB/atom

Cell: 4.7382 4.7382 2.9308 Å, 90.00 90.00 120.00°
Space group P3m1 (No. 156)
Asymmetric unit:
Hf  0.0000  0.0000  0.0000 [1 per cell]
Ta  0.6667  0.3333  0.5108 [1 per cell]
Ge  0.3333  0.6667  0.4514 [1 per cell]

=====

# 8
Here is a relaxed structure of HfTa2Ge from the Alexandria database. Energies are from PBE.

Properties
* total DFT energy (no corrections): -147.411 eV for the cell shown
* DFT formation energy: 0.36 eV per atom
* spin magnetization: 0.000 μB/atom

Cell: 7.765 7.765 5.333 Å, 90.00 90.00 90.00°
Space group I-42d (No. 122)
Asymmetric unit:
Hf  0.000  0.000  0.000 [4 per cell]
Ta  0.205  0.250  0.625 [8 per cell]
Ge  0.000  0.000  0.500 [4 per cell]

=====

# 9
Here is a relaxed structure of HfTaGe2 from the Alexandria database. Energies are from PBE.

Properties
* total DFT energy (no corrections): -126.098 eV for the cell shown
* DFT formation energy: -0.12 eV per atom
* energy above the most stable polymorph in this dataset: 0.148 eV per atom
* spin magnetization: 0.000 μB/atom

Cell: 6.557 6.557 6.557 Å, 90.00 90.00 90.00°
Space group Fm-3m (No. 225)
Asymmetric unit:
Hf  0.000  0.000  0.000 [4 per cell]
Ta  0.000  0.000  0.500 [4 per cell]
Ge  0.250  0.250  0.250 [8 per cell]

=====

# 10
Here is a relaxed structure of HfTa3Ge from the Alexandria database. Energies are from PBE.

Properties
* total DFT energy (no corrections): -100.175 eV for the cell shown
* DFT formation energy: 0.01 eV per atom
* energy above the most stable polymorph in this dataset: 0.000 eV per atom
* spin magnetization: 0.000 μB/atom

Cell: 8.949 4.372 6.235 Å, 90.00 130.76 90.00°
Space group Cm (No. 8)
Asymmetric unit:
Hf  0.000  0.000  0.000 [2 per cell]
Ta  0.220  0.000  0.610 [2 per cell]
Ta  0.320  0.500  0.400 [2 per cell]
Ta  0.406  0.000  0.214 [2 per cell]
Ge  0.107  0.500  0.802 [2 per cell]

=====

# 11
Here is a relaxed structure of HfTa3Ge from the Alexandria database. Energies are from PBE.

Properties
* total DFT energy (no corrections): -46.168 eV for the cell shown
* DFT formation energy: 0.79 eV per atom
* energy above the most stable polymorph in this dataset: 0.784 eV per atom
* spin magnetization: 0.000 μB/atom

Cell: 4.756 4.756 4.756 Å, 90.00 90.00 90.00°
Space group Pm-3m (No. 221)
Asymmetric unit:
Hf  0.000  0.000  0.000 [1 per cell]
Ta  0.000  0.500  0.500 [3 per cell]
Ge  0.500  0.500  0.500 [1 per cell]

=====

# 12
Here is a relaxed structure of Hf3TaGe from the Alexandria database. Energies are from PBE.

Properties
* total DFT energy (no corrections): -43.071 eV for the cell shown
* DFT formation energy: 0.65 eV per atom
* energy above the most stable polymorph in this dataset: 0.000 eV per atom
* spin magnetization: 0.000 μB/atom

Cell: 4.905 4.905 4.905 Å, 90.00 90.00 90.00°
Space group Pm-3m (No. 221)
Asymmetric unit:
Hf  0.000  0.000  0.500 [3 per cell]
Ta  0.500  0.500  0.500 [1 per cell]
Ge  0.000  0.000  0.000 [1 per cell]

=====

# 13
Here is a relaxed structure of HfTaTcGe2 from the Alexandria database. Energies are from PBE.

Properties
* total DFT energy (no corrections): -34.993 eV for the cell shown
* DFT formation energy: 1.28 eV per atom
* spin magnetization: 0.654 μB/atom

Cell: 4.893 4.893 5.127 Å, 90.00 90.00 90.00°
Space group P4/mmm (No. 123)
Asymmetric unit:
Hf  0.000  0.000  0.000 [1 per cell]
Ta  0.000  0.000  0.500 [1 per cell]
Tc  0.500  0.500  0.000 [1 per cell]
Ge  0.000  0.500  0.500 [2 per cell]

=====

# 14
Here is a relaxed structure of HfTaTiGe2 from the Alexandria database. Energies are from PBE.

Properties
* total DFT energy (no corrections): -34.278 eV for the cell shown
* DFT formation energy: 0.93 eV per atom
* spin magnetization: 0.000 μB/atom

Cell: 4.900 4.900 5.102 Å, 90.00 90.00 90.00°
Space group P4/mmm (No. 123)
Asymmetric unit:
Hf  0.000  0.000  0.000 [1 per cell]
Ta  0.000  0.000  0.500 [1 per cell]
Ti  0.500  0.500  0.000 [1 per cell]
Ge  0.000  0.500  0.500 [2 per cell]

=====

# 15
Here is a relaxed structure of Tb5HfGe4 from the Alexandria database. Energies are from PBE.

Properties
* total DFT energy (no corrections): -113.775 eV for the cell shown
* DFT formation energy: -0.53 eV per atom
* spin magnetization: 0.000 μB/atom

Cell: 17.759 4.072 7.817 Å, 90.00 106.34 90.00°
Space group C2/m (No. 12)
Asymmetric unit:
Tb  0.000  0.000  0.000 [2 per cell]
Tb  0.168  0.500  0.340 [4 per cell]
Tb  0.168  0.500  0.856 [4 per cell]
Hf  0.000  0.000  0.500 [2 per cell]
Ge  0.000  0.500  0.261 [4 per cell]
Ge  0.164  0.000  0.600 [4 per cell]

=====

# 16
Here is a relaxed structure of Tb2HfGe3 from the Alexandria database. Energies are from PBE.

Properties
* total DFT energy (no corrections): -73.856 eV for the cell shown
* DFT formation energy: -0.64 eV per atom
* spin magnetization: 0.000 μB/atom

Cell: 4.058 5.720 12.101 Å, 90.00 90.00 90.00°
Space group Immm (No. 71)
Asymmetric unit:
Tb  0.000  0.000  0.172 [4 per cell]
Hf  0.000  0.000  0.500 [2 per cell]
Ge  0.000  0.500  0.152 [4 per cell]
Ge  0.000  0.500  0.500 [2 per cell]

=====

# 17
Here is a relaxed structure of Tb3HfGe6 from the Alexandria database. Energies are from PBE.

Properties
* total DFT energy (no corrections): -347.855 eV for the cell shown
* DFT formation energy: -0.64 eV per atom
* spin magnetization: 0.000 μB/atom

Cell: 11.3667 11.3667 11.4012 Å, 90.00 90.00 120.00°
Space group R-3c (No. 167, hexagonal axes)
Asymmetric unit:
Tb  0.0000  0.4303  0.2500 [18 per cell]
Hf  0.0000  0.0000  0.0000 [6 per cell]
Ge  0.0659  0.2106  0.3450 [36 per cell]

=====

# 18
Here is a relaxed structure of Hf2TcGe3 from the Alexandria database. Energies are from PBE.

Properties
* total DFT energy (no corrections): -90.654 eV for the cell shown
* DFT formation energy: -0.20 eV per atom
* spin magnetization: 0.188 μB/atom

Cell: 3.967 5.366 10.576 Å, 90.00 90.00 90.00°
Space group Immm (No. 71)
Asymmetric unit:
Hf  0.000  0.000  0.174 [4 per cell]
Tc  0.000  0.000  0.500 [2 per cell]
Ge  0.000  0.500  0.151 [4 per cell]
Ge  0.000  0.500  0.500 [2 per cell]

=====

# 19
Here is a relaxed structure of HfTcGe3 from the Alexandria database. Energies are from PBE.

Properties
* total DFT energy (no corrections): -279.617 eV for the cell shown
* DFT formation energy: -0.16 eV per atom
* energy above the most stable polymorph in this dataset: 0.000 eV per atom
* spin magnetization: 0.000 μB/atom

Cell: 12.606 9.890 5.774 Å, 90.00 104.93 90.00°
Space group C2/c (No. 15)
Asymmetric unit:
Hf  0.206  0.112  0.117 [8 per cell]
Tc  0.000  0.060  0.750 [4 per cell]
Tc  0.000  0.223  0.250 [4 per cell]
Ge  0.078  0.324  0.932 [8 per cell]
Ge  0.136  0.412  0.438 [8 per cell]
Ge  0.161  0.158  0.608 [8 per cell]

=====

# 20
Here is a relaxed structure of HfTcGe2 from the Alexandria database. Energies are from PBE.

Properties
* total DFT energy (no corrections): -117.581 eV for the cell shown
* DFT formation energy: 0.04 eV per atom
* energy above the most stable polymorph in this dataset: 0.320 eV per atom
* spin magnetization: 0.000 μB/atom

Cell: 3.903 3.903 19.020 Å, 90.00 90.00 90.00°
Space group I-42d (No. 122)
Asymmetric unit:
Hf  0.000  0.000  0.000 [4 per cell]
Tc  0.000  0.000  0.500 [4 per cell]
Ge  0.238  0.250  0.625 [8 per cell]